NdTlMo2O8 PBE with a Hubbard U optimized geometry; final energy = -7.065 eV per atom; N(E_F) = 0.0000 states/eV/atom; density = 5.6 g/cm3; V = 397.99 Å³/cell; symmetry = P4/nnc (126)
1.0
6.404 0.000 0.000
0.000 6.404 0.000
0.000 0.000 9.704
Nd Tl Mo O
2 2 4 16
Cartesian
1.601 1.601 2.426 Nd
4.803 4.803 7.278 Nd
1.601 1.601 7.278 Tl
4.803 4.803 2.426 Tl
1.601 4.803 0.000 Mo
1.601 4.803 4.852 Mo
4.803 1.601 0.000 Mo
4.803 1.601 4.852 Mo
0.347 4.089 5.928 O
0.347 5.517 8.628 O
0.887 3.549 1.076 O
0.887 6.057 3.776 O
2.315 3.549 3.776 O
2.315 6.057 1.076 O
2.855 4.089 8.628 O
2.855 5.517 5.928 O
3.549 0.887 3.776 O
3.549 2.315 1.076 O
4.089 0.347 8.628 O
4.089 2.855 5.928 O
5.517 0.347 5.928 O
5.517 2.855 8.628 O
6.057 0.887 1.076 O
6.057 2.315 3.776 O